First-principles (GGA+U) data for a relaxed structure of MnSeO4, as listed in Alexandria via LeMat-Bulk.

a = 5.098 Å, b = 7.141 Å, c = 9.384 Å
α = 90.00°, β = 90.00°, γ = 90.00°
Each line ends with the local moment (μB).
Sites, in units of the cell vectors:
Mn 0.000 0.000 0.000  4.65
Mn 0.500 0.000 0.500  4.65
Mn 0.000 0.500 0.000  4.65
Mn 0.500 0.500 0.500  4.65
Se 0.521 0.750 0.820  0.04
Se 0.021 0.250 0.680  0.04
Se 0.479 0.250 0.180  0.04
Se 0.979 0.750 0.320  0.04
O 0.166 0.446 0.626  0.02
O 0.666 0.554 0.874  0.02
O 0.834 0.946 0.374  0.02
O 0.334 0.054 0.126  0.02
O 0.834 0.554 0.374  0.02
O 0.334 0.446 0.126  0.02
O 0.166 0.054 0.626  0.02
O 0.666 0.946 0.874  0.02
O 0.208 0.750 0.879  0.03
O 0.708 0.250 0.621  0.03
O 0.792 0.250 0.121  0.03
O 0.292 0.750 0.379  0.03
O 0.542 0.750 0.639  0.03
O 0.042 0.250 0.861  0.03
O 0.458 0.250 0.361  0.03
O 0.958 0.750 0.139  0.03

uncorrected energy = -6.192 eV/atom
symmetry = Pnma, No. 62